! PBE RbMgTlCd, relaxed; values from VASP
&SYSTEM
  ibrav = 0, nat = 4, ntyp = 4
/
ATOMIC_SPECIES
Tl 204.38 Tl.upf
Mg 24.30 Mg.upf
Rb 85.47 Rb.upf
Cd 112.41 Cd.upf
CELL_PARAMETERS angstrom
-3.374 2.549 -3.759
1.471 0.175 -5.460
-2.844 -3.084 -3.796
ATOMIC_POSITIONS crystal
Tl 0.000 0.000 0.000
Mg 0.250 0.250 0.250
Rb 0.750 0.750 0.750
Cd 0.500 0.500 0.500
! E_form: 0.11 eV/atom
! Crystal system: cubic
! Space group: No. 216